(1)
VASP calculation (GGA-PBE) on an optimized crystal structure of ZnCu5O8.

a = 5.9107 Å, b = 5.9107 Å, c = 5.9107 Å
α = 60.00°, β = 60.00°, γ = 60.00°
With the nearest neighbours (Å) after each atom.
Atoms (fractional coordinates):
1 Zn 0.0000 0.0000 0.0000  4 O 1.97
2 Cu 0.3753 0.3753 0.3753  6 O 2.00-2.01
3 Cu 0.3753 0.3753 0.8740  6 O 2.00-2.01
4 Cu 0.3753 0.8740 0.3753  6 O 2.00-2.01
5 Cu 0.7500 0.7500 0.7500  4 O 1.95
6 Cu 0.8740 0.3753 0.3753  6 O 2.00-2.01
7 O 0.1362 0.1362 0.1362  1 Zn 1.97, 3 Cu 2.00
8 O 0.1362 0.1362 0.5913  1 Zn 1.97, 3 Cu 2.00
9 O 0.1362 0.5913 0.1362  1 Zn 1.97, 3 Cu 2.00
10 O 0.1540 0.6153 0.6153  4 Cu 1.95-2.01
11 O 0.5913 0.1362 0.1362  1 Zn 1.97, 3 Cu 2.00
12 O 0.6153 0.1540 0.6153  4 Cu 1.95-2.01
13 O 0.6153 0.6153 0.1540  4 Cu 1.95-2.01
14 O 0.6153 0.6153 0.6153  4 Cu 1.95-2.01

**Magnetic moment**: 5.86 μB/f.u.
**Mass density**: 5.8 g/cm³
**Final energy**: -4.942 eV per atom
**Symmetry**: F-43m (216)

(2)
VASP calculation (GGA-PBE) on an optimized crystal structure of BaTlRh.

a = 5.2531 Å, b = 5.2531 Å, c = 5.2531 Å
α = 60.00°, β = 60.00°, γ = 60.00°
With the nearest neighbours (Å) after each atom.
Atoms (fractional coordinates):
1 Ba 0.0000 0.0000 0.0000  4 Tl 3.22, 4 Rh 3.22
2 Tl 0.7500 0.7500 0.7500  4 Ba 3.22
3 Rh 0.2500 0.2500 0.2500  4 Ba 3.22

**Magnetic moment**: 0.00 μB/f.u.
**Mass density**: 7.2 g/cm³
**ΔH_f (0 K)**: 0.548 eV per atom
**Final energy**: -3.332 eV per atom
**Symmetry**: F-43m (216)

(3)
VASP calculation (GGA-PBE) on an optimized crystal structure of BaSnSbPt3.

a = 8.6111 Å, b = 8.6111 Å, c = 5.9555 Å
α = 90.00°, β = 90.00°, γ = 132.35°
With the nearest neighbours (Å) after each atom.
Atoms (fractional coordinates):
1 Ba 0.2278 0.7722 0.7500  2 Pt 3.05
2 Ba 0.7722 0.2278 0.2500  2 Pt 3.05
3 Sn 0.4342 0.5658 0.2500  5 Pt 2.61-2.69
4 Sn 0.5658 0.4342 0.7500  5 Pt 2.61-2.69
5 Sb 0.1032 0.8968 0.2500  5 Pt 2.61-2.66
6 Sb 0.8968 0.1032 0.7500  5 Pt 2.61-2.66
7 Pt 0.2137 0.2137 0.0000  2 Sb 2.66, 2 Sn 2.69, 3 Pt 2.97-2.98
8 Pt 0.2137 0.2137 0.5000  2 Sb 2.66, 2 Sn 2.69, 3 Pt 2.97-2.98
9 Pt 0.2686 0.7314 0.2500  1 Sb 2.61, 1 Sn 2.61
10 Pt 0.7314 0.2686 0.7500  1 Sb 2.61, 1 Sn 2.61
11 Pt 0.7863 0.7863 0.0000  2 Sb 2.66, 2 Sn 2.69, 3 Pt 2.97-2.98
12 Pt 0.7863 0.7863 0.5000  2 Sb 2.66, 2 Sn 2.69, 3 Pt 2.97-2.98

**Magnetic moment**: 0.00 μB/f.u.
**Mass density**: 9.8 g/cm³
**Final energy**: -5.268 eV per atom
**Symmetry**: Cmcm (63)

(4)
VASP calculation (GGA-PBE) on an optimized crystal structure of Ca2Ga2Cu5Pd.

a = 9.7890 Å, b = 9.7890 Å, c = 3.5716 Å
α = 90.00°, β = 90.00°, γ = 90.00°
With the nearest neighbours (Å) after each atom.
Atoms (fractional coordinates):
1 Ca 0.1782 0.3218 0.0000  3 Ga 2.76-2.99, 2 Cu 3.05
2 Ca 0.3218 0.8218 0.0000  3 Ga 2.76-2.99, 2 Cu 3.05
3 Ca 0.6782 0.1782 0.0000  3 Ga 2.76-2.99, 2 Cu 3.05
4 Ca 0.8218 0.6782 0.0000  3 Ga 2.76-2.99, 2 Cu 3.05
5 Ga 0.1223 0.6223 0.0000  6 Cu 2.46-2.63
6 Ga 0.3777 0.1223 0.0000  6 Cu 2.46-2.63
7 Ga 0.6223 0.8777 0.0000  6 Cu 2.46-2.63
8 Ga 0.8777 0.3777 0.0000  6 Cu 2.46-2.63
9 Cu 0.0000 0.5000 0.5000  4 Ga 2.46
10 Cu 0.0509 0.8064 0.5000  2 Ga 2.63, 2 Pd 2.65, 2 Cu 2.77
11 Cu 0.1936 0.0509 0.5000  2 Ga 2.63, 2 Pd 2.65, 2 Cu 2.77
12 Cu 0.3064 0.5509 0.5000  2 Ga 2.63, 2 Pd 2.65, 2 Cu 2.77
13 Cu 0.4491 0.3064 0.5000  2 Ga 2.63, 2 Pd 2.65, 2 Cu 2.77
14 Cu 0.5000 0.0000 0.5000  4 Ga 2.46
15 Cu 0.5509 0.6936 0.5000  2 Ga 2.63, 2 Pd 2.65, 2 Cu 2.77
16 Cu 0.6936 0.4491 0.5000  2 Ga 2.63, 2 Pd 2.65, 2 Cu 2.77
17 Cu 0.8064 0.9491 0.5000  2 Ga 2.63, 2 Pd 2.65, 2 Cu 2.77
18 Cu 0.9491 0.1936 0.5000  2 Ga 2.63, 2 Pd 2.65, 2 Cu 2.77
19 Pd 0.0000 0.0000 0.0000  8 Cu 2.65
20 Pd 0.5000 0.5000 0.0000  8 Cu 2.65

**Magnetic moment**: 0.00 μB/f.u.
**Mass density**: 6.2 g/cm³
**ΔH_f (0 K)**: -0.133 eV per atom
**Final energy**: -3.706 eV per atom
**Symmetry**: P4/mbm (127)

(5)
VASP calculation (GGA-PBE) on an optimized crystal structure of MgZn6Au3.

a = 8.0816 Å, b = 8.0816 Å, c = 5.4611 Å
α = 90.00°, β = 90.00°, γ = 77.02°
With the nearest neighbours (Å) after each atom.
Atoms (fractional coordinates):
1 Mg 0.2412 0.7588 0.5000  5 Zn 2.72-2.92, 4 Au 2.76-2.79
2 Mg 0.7588 0.2412 0.0000  5 Zn 2.72-2.92, 4 Au 2.76-2.79
3 Zn 0.1381 0.4905 0.2420  3 Au 2.71-2.81, 4 Zn 2.76-2.91, 1 Mg 2.86
4 Zn 0.1779 0.1903 0.4999  4 Au 2.69-2.77, 4 Zn 2.73-2.80
5 Zn 0.1903 0.1779 0.9999  4 Au 2.69-2.77, 4 Zn 2.73-2.80
6 Zn 0.2289 0.7711 0.0022  1 Zn 2.50, 2 Au 2.66-2.69, 2 Mg 2.72-2.75
7 Zn 0.4725 0.5275 0.0876  3 Zn 2.50-2.79, 2 Au 2.76
8 Zn 0.4905 0.1381 0.7420  3 Au 2.71-2.81, 4 Zn 2.76-2.91, 1 Mg 2.86
9 Zn 0.5095 0.8619 0.2420  3 Au 2.71-2.81, 4 Zn 2.76-2.91, 1 Mg 2.86
10 Zn 0.5275 0.4725 0.5876  3 Zn 2.50-2.79, 2 Au 2.76
11 Zn 0.7711 0.2289 0.5022  1 Zn 2.50, 2 Au 2.66-2.69, 2 Mg 2.72-2.75
12 Zn 0.8097 0.8221 0.4999  4 Au 2.69-2.77, 4 Zn 2.73-2.80
13 Zn 0.8221 0.8097 0.9999  4 Au 2.69-2.77, 4 Zn 2.73-2.80
14 Zn 0.8619 0.5095 0.7420  3 Au 2.71-2.81, 4 Zn 2.76-2.91, 1 Mg 2.86
15 Au 0.0016 0.9984 0.7527  6 Zn 2.66-2.71, 2 Au 2.73, 2 Mg 2.78-2.79
16 Au 0.2043 0.4716 0.7480  8 Zn 2.70-2.96, 1 Mg 2.76
17 Au 0.4716 0.2043 0.2480  8 Zn 2.70-2.96, 1 Mg 2.76
18 Au 0.5284 0.7957 0.7480  8 Zn 2.70-2.96, 1 Mg 2.76
19 Au 0.7957 0.5284 0.2480  8 Zn 2.70-2.96, 1 Mg 2.76
20 Au 0.9984 0.0016 0.2527  6 Zn 2.66-2.71, 2 Au 2.73, 2 Mg 2.78-2.79

**Magnetic moment**: 0.00 μB/f.u.
**Mass density**: 9.6 g/cm³
**ΔH_f (0 K)**: -0.142 eV per atom
**Final energy**: -2.049 eV per atom
**Symmetry**: Cmc2_1 (36)

(6)
VASP calculation (GGA-PBE) on an optimized crystal structure of AlTlTcS2.

a = 4.5810 Å, b = 4.5810 Å, c = 5.4742 Å
α = 90.00°, β = 90.00°, γ = 90.00°
With the nearest neighbours (Å) after each atom.
Atoms (fractional coordinates):
1 Al 0.0000 0.0000 0.0000  4 S 2.29
2 Tl 0.0000 0.0000 0.5000  2 Al 2.74
3 Tc 0.5000 0.5000 0.5000  4 Tl 3.24, 8 S 3.57
4 S 0.0000 0.5000 0.0000  2 Al 2.29
5 S 0.5000 0.0000 0.0000  2 Al 2.29

**Magnetic moment**: 4.00 μB/f.u.
**Mass density**: 5.7 g/cm³
**Final energy**: -4.160 eV per atom
**Symmetry**: P4/mmm (123)

Q: What is the formula in the third record?
A: BaSnSbPt3

Q: final energy of number 5 (MgZn6Au3)?
A: -2.049 eV per atom